BaPu2O4: relaxed, PBE-GGA.

a b c (Å): 3.554 6.076 11.461
angles (deg): 90.00 90.00 107.00
Fractional coordinates of all 14 atoms:
Ba1 0.610 0.220 0.750
Ba2 0.390 0.780 0.250
Pu1 0.132 0.265 0.432
Pu2 0.868 0.735 0.932
Pu3 0.132 0.265 0.068
Pu4 0.868 0.735 0.568
O1 0.760 0.521 0.103
O2 0.760 0.521 0.397
O3 0.240 0.479 0.897
O4 0.240 0.479 0.603
O5 0.940 0.879 0.750
O6 0.060 0.121 0.250
O7 0.500 0.000 0.000
O8 0.500 0.000 0.500

Summary:
**Total magnetization**: 1.43 μB/atom
**Formation energy from raw total energies**: -2848 meV per atom
**Energy above the most stable polymorph in this dataset**: 0 meV/atom

---

Ac2TbZnO6: relaxed, PBE-GGA.

a b c (Å): 5.896 6.038 8.431
angles (deg): 90.00 90.85 90.00
Fractional coordinates of all 20 atoms:
Ac1 0.014 0.952 0.249
Ac2 0.514 0.548 0.749
Ac3 0.986 0.048 0.751
Ac4 0.486 0.452 0.251
Tb1 0.500 0.000 0.000
Tb2 0.000 0.500 0.500
Zn1 0.500 0.000 0.500
Zn2 0.000 0.500 0.000
O1 0.286 0.699 0.053
O2 0.786 0.801 0.553
O3 0.714 0.301 0.947
O4 0.214 0.199 0.447
O5 0.303 0.711 0.447
O6 0.803 0.789 0.947
O7 0.697 0.289 0.553
O8 0.197 0.211 0.053
O9 0.902 0.535 0.242
O10 0.402 0.965 0.742
O11 0.098 0.465 0.758
O12 0.598 0.035 0.258

Summary:
**Total magnetization**: 0.10 μB/atom
**Formation energy from raw total energies**: -2730 meV per atom

---

SrCaHg17: relaxed, PBE-GGA.

a b c (Å): 8.353 8.353 8.353
angles (deg): 72.95 72.95 72.95
Fractional coordinates of all 19 atoms:
Sr1 0.634 0.634 0.634
Ca1 0.324 0.324 0.324
Hg1 0.311 0.006 0.692
Hg2 0.692 0.311 0.006
Hg3 0.006 0.692 0.311
Hg4 0.311 0.692 0.006
Hg5 0.006 0.311 0.692
Hg6 0.692 0.006 0.311
Hg7 0.345 0.919 0.345
Hg8 0.345 0.345 0.919
Hg9 0.919 0.345 0.345
Hg10 0.589 0.238 0.589
Hg11 0.589 0.589 0.238
Hg12 0.238 0.589 0.589
Hg13 0.935 0.578 0.935
Hg14 0.935 0.935 0.578
Hg15 0.578 0.935 0.935
Hg16 0.942 0.942 0.942
Hg17 0.108 0.108 0.108

Summary:
**ΔH_f (0 K)**: -3.51 kcal/mol of atoms
**Total magnetization**: 0.00 μB/atom

---

Copy entry 1 word for word.
BaPu2O4: relaxed, PBE-GGA.

a b c (Å): 3.554 6.076 11.461
angles (deg): 90.00 90.00 107.00
Fractional coordinates of all 14 atoms:
Ba1 0.610 0.220 0.750
Ba2 0.390 0.780 0.250
Pu1 0.132 0.265 0.432
Pu2 0.868 0.735 0.932
Pu3 0.132 0.265 0.068
Pu4 0.868 0.735 0.568
O1 0.760 0.521 0.103
O2 0.760 0.521 0.397
O3 0.240 0.479 0.897
O4 0.240 0.479 0.603
O5 0.940 0.879 0.750
O6 0.060 0.121 0.250
O7 0.500 0.000 0.000
O8 0.500 0.000 0.500

Summary:
**Total magnetization**: 1.43 μB/atom
**Formation energy from raw total energies**: -2848 meV per atom
**Energy above the most stable polymorph in this dataset**: 0 meV/atom